Entry 1:
The following is a DFT calculation (GGA-PBE) of a relaxed Dy4Y3Se8 crystal.

Cell: 8.132 8.132 8.132 Å, 90.00 120.00 120.00°
Fractional positions:
Se (0.999, 0.253, 0.253)
Se (0.500, 0.750, 0.250)
Se (0.506, 0.253, 0.253)
Se (0.000, 0.747, 0.253)
Se (0.494, 0.747, 0.747)
Se (0.000, 0.253, 0.747)
Se (0.001, 0.747, 0.747)
Se (0.500, 0.250, 0.750)
Dy (0.000, 0.000, 0.500)
Dy (0.000, 0.000, 0.000)
Dy (0.500, 0.000, 0.000)
Dy (0.000, 0.500, 0.000)
Y (0.500, 0.500, 0.500)
Y (0.500, 0.000, 0.500)
Y (0.500, 0.500, 0.000)

Results
Density of states at the Fermi level (states/eV/f.u.): 6.372
Calculated volume (Å³ per cell): 380.3
Symmetry: C2/m, No. 12
E (eV per atom): -6.217
Density (g cm⁻³): 6.76

Entry 2:
The following is a DFT calculation (GGA-PBE) of a relaxed CrGa3 crystal.

Cell: 2.731 4.583 4.712 Å, 90.00 90.00 90.00°
Fractional positions:
Cr (0.000, 0.000, 0.014)
Ga (0.500, 0.500, 0.831)
Ga (0.000, 0.500, 0.315)
Ga (0.500, 0.000, 0.506)

Results
Formation enthalpy at 0 K (kJ/mol of atoms): 12.0
Density of states at the Fermi level (states/eV/f.u.): 2.971
Calculated volume (Å³ per cell): 59.0
Symmetry: Pmm2, No. 25
Density (g cm⁻³): 7.35

Entry 3:
The following is a DFT calculation (GGA-PBE) of a relaxed Pr2Al5PdRh2 crystal.

Cell: 3.656 10.203 10.203 Å, 90.00 90.00 90.00°
Fractional positions:
Al (0.500, 0.549, 0.696)
Al (0.500, 0.804, 0.951)
Al (0.500, 0.696, 0.451)
Al (0.500, 0.500, 0.000)
Al (0.500, 0.196, 0.049)
Al (0.500, 0.451, 0.304)
Al (0.500, 0.304, 0.549)
Al (0.500, 0.951, 0.196)
Al (0.500, 0.000, 0.500)
Al (0.500, 0.049, 0.804)
Pr (0.000, 0.813, 0.687)
Pr (0.000, 0.313, 0.813)
Pr (0.000, 0.187, 0.313)
Pr (0.000, 0.687, 0.187)
Rh (0.000, 0.115, 0.615)
Rh (0.000, 0.885, 0.385)
Rh (0.000, 0.615, 0.885)
Rh (0.000, 0.385, 0.115)
Pd (0.000, 0.500, 0.500)
Pd (0.000, 0.000, 0.000)

Results
Formation enthalpy at 0 K (kJ/mol of atoms): -60.0
Density of states at the Fermi level (states/eV/f.u.): 8.051
Calculated volume (Å³ per cell): 380.5
Symmetry: P4/mbm, No. 127
Density (g cm⁻³): 6.36